Density functional theory data (GGA+U) for AlCuW2F after structural relaxation.

Lattice parameters (Å, degrees): 5.252 5.252 4.446 90.00 90.00 90.00
Space group P4/mmm (No. 123)
One atom of each set of equivalent atoms:
1 Al 0.000 0.000 0.000 (multiplicity 1)
2 Cu 0.000 0.000 0.500 (multiplicity 1)
3 W 0.000 0.500 0.000 (multiplicity 2)
4 F 0.500 0.500 0.500 (multiplicity 1)

Values from the calculation:
Crystal system: tetragonal
Electronic total energy in eV per cell: -17.54
V in Å³ per cell: 122.6